DFT (PBE) results for a relaxed Zn2Cd crystal.

Values from the calculation:
Its total energy is -0.833 eV/atom.

Cell and atoms, written as CIF:
```
data_Zn2Cd
_chemical_formula_sum 'Zn8 Cd4'
_cell_length_a 6.5199
_cell_length_b 6.5199
_cell_length_c 6.5199
_cell_angle_alpha 90.00
_cell_angle_beta 90.00
_cell_angle_gamma 90.00
_space_group_name_H-M_alt 'P a -3'
_space_group_IT_number 205
_space_group_name_Hall '-P 2ac 2ab 3'
loop_
_atom_site_label
_atom_site_fract_x
_atom_site_fract_y
_atom_site_fract_z
_atom_site_occupancy
Zn1 0.1147 0.1147 0.1147 1
Cd1 0.0000 0.0000 0.5000 1
```

DFT (PBE) results for a relaxed Zn3Cd2 crystal.

Values from the calculation:
As for the excess energy over the best structure of this formula in the dataset: 0 meV per atom. Its total energy is -1.044 eV/atom.

Cell and atoms, written as CIF:
```
data_Zn3Cd2
_chemical_formula_sum 'Zn9 Cd6'
_cell_length_a 3.1265
_cell_length_b 3.1265
_cell_length_c 33.0501
_cell_angle_alpha 90.00
_cell_angle_beta 90.00
_cell_angle_gamma 120.00
_space_group_name_H-M_alt 'R -3 m'
_space_group_IT_number 166
_space_group_name_Hall '-R 3 2"'
loop_
_atom_site_label
_atom_site_fract_x
_atom_site_fract_y
_atom_site_fract_z
_atom_site_occupancy
Zn1 0.0000 0.0000 0.0000 1
Zn2 0.0000 0.0000 0.1958 1
Cd1 0.0000 0.0000 0.4021 1
```

DFT (PBE) results for a relaxed Zn2Cd crystal.

Values from the calculation:
Its total energy is -1.093 eV/atom.

Cell and atoms, written as CIF:
```
data_Zn2Cd
_chemical_formula_sum 'Zn8 Cd4'
_cell_length_a 6.6783
_cell_length_b 3.9923
_cell_length_c 8.1486
_cell_angle_alpha 90.00
_cell_angle_beta 90.00
_cell_angle_gamma 90.00
_space_group_name_H-M_alt 'P n m a'
_space_group_IT_number 62
_space_group_name_Hall '-P 2ac 2n'
loop_
_atom_site_label
_atom_site_fract_x
_atom_site_fract_y
_atom_site_fract_z
_atom_site_occupancy
Zn1 0.1014 0.2500 0.0811 1
Zn2 0.1085 0.2500 0.7554 1
Cd1 0.1423 0.2500 0.4169 1
```

DFT (PBE) results for a relaxed Zn2Cd crystal.

Values from the calculation:
Its total energy is -0.983 eV/atom.

Cell and atoms, written as CIF:
```
data_Zn2Cd
_chemical_formula_sum 'Zn8 Cd4'
_cell_length_a 3.7076
_cell_length_b 3.7076
_cell_length_c 17.4561
_cell_angle_alpha 90.00
_cell_angle_beta 90.00
_cell_angle_gamma 90.00
_space_group_name_H-M_alt 'I 41/a m d'
_space_group_IT_number 141
loop_
_space_group_symop_operation_xyz
'x,y,z'
'-x,-y,-z'
'-y+1/4,x+3/4,z+1/4'
'y+1/4,-x+3/4,-z+1/4'
'-x+1/2,-y,z+1/2'
'x+1/2,y,-z+1/2'
'y+1/4,-x+1/4,z+3/4'
'-y+1/4,x+1/4,-z+3/4'
'x,-y,-z'
'-x,y,z'
'-y+1/4,-x+1/4,-z+3/4'
'y+1/4,x+1/4,z+3/4'
'-x+1/2,y,-z+1/2'
'x+1/2,-y,z+1/2'
'y+1/4,x+3/4,-z+1/4'
'-y+1/4,-x+3/4,z+1/4'
'x+1/2,y+1/2,z+1/2'
'-x+1/2,-y+1/2,-z+1/2'
'-y+3/4,x+1/4,z+3/4'
'y+3/4,-x+1/4,-z+3/4'
'-x,-y+1/2,z'
'x,y+1/2,-z'
'y+3/4,-x+3/4,z+1/4'
'-y+3/4,x+3/4,-z+1/4'
'x+1/2,-y+1/2,-z+1/2'
'-x+1/2,y+1/2,z+1/2'
'-y+3/4,-x+3/4,-z+1/4'
'y+3/4,x+3/4,z+1/4'
'-x,y+1/2,-z'
'x,-y+1/2,z'
'y+3/4,x+1/4,-z+3/4'
'-y+3/4,-x+1/4,z+3/4'
loop_
_atom_site_label
_atom_site_fract_x
_atom_site_fract_y
_atom_site_fract_z
_atom_site_occupancy
Zn1 0.0000 0.2500 0.2996 1
Cd1 0.0000 0.2500 0.8750 1
```

DFT (PBE) results for a relaxed Zn5Cd crystal.

Values from the calculation:
As for the excess energy over the best structure of this formula in the dataset: 0 meV per atom. Its total energy is -1.168 eV/atom.

Cell and atoms, written as CIF:
```
data_Zn5Cd
_chemical_formula_sum 'Zn10 Cd2'
_cell_length_a 13.4307
_cell_length_b 2.6802
_cell_length_c 6.6972
_cell_angle_alpha 90.00
_cell_angle_beta 119.58
_cell_angle_gamma 90.00
_space_group_name_H-M_alt 'C 1 m 1'
_space_group_IT_number 8
_space_group_name_Hall 'C -2y'
loop_
_atom_site_label
_atom_site_fract_x
_atom_site_fract_y
_atom_site_fract_z
_atom_site_occupancy
Zn1 0.0000 0.0000 0.0000 1
Zn2 0.0272 0.0000 0.5864 1
Zn3 0.1547 0.5000 0.4284 1
Zn4 0.3522 0.0000 0.6053 1
Zn5 0.4025 0.0000 0.1980 1
Cd1 0.1933 0.5000 0.0002 1
```

DFT (PBE) results for a relaxed Zn5Cd crystal.

Values from the calculation:
As for the excess energy over the best structure of this formula in the dataset: 19 meV per atom. Its total energy is -1.150 eV/atom.

Cell and atoms, written as CIF:
```
data_Zn5Cd
_chemical_formula_sum 'Zn10 Cd2'
_cell_length_a 4.7842
_cell_length_b 9.1428
_cell_length_c 4.9020
_cell_angle_alpha 90.00
_cell_angle_beta 111.48
_cell_angle_gamma 90.00
_space_group_name_H-M_alt 'C 1 2/m 1'
_space_group_IT_number 12
_space_group_name_Hall '-C 2y'
loop_
_atom_site_label
_atom_site_fract_x
_atom_site_fract_y
_atom_site_fract_z
_atom_site_occupancy
Zn1 0.0000 0.0000 0.0000 1
Zn2 0.0000 0.1695 0.5000 1
Zn3 0.0000 0.3204 0.0000 1
Cd1 0.0000 0.5000 0.5000 1
```

DFT (PBE) results for a relaxed Zn2Cd crystal.

Values from the calculation:
Its total energy is -1.062 eV/atom.

Cell and atoms, written as CIF:
```
data_Zn2Cd
_chemical_formula_sum 'Zn8 Cd4'
_cell_length_a 2.8126
_cell_length_b 4.4458
_cell_length_c 18.0670
_cell_angle_alpha 90.00
_cell_angle_beta 90.00
_cell_angle_gamma 90.00
_space_group_name_H-M_alt 'I m m a'
_space_group_IT_number 74
_space_group_name_Hall '-I 2b 2'
loop_
_atom_site_label
_atom_site_fract_x
_atom_site_fract_y
_atom_site_fract_z
_atom_site_occupancy
Zn1 0.0000 0.2500 0.0380 1
Zn2 0.0000 0.2500 0.1903 1
Cd1 0.0000 0.2500 0.6222 1
```

DFT (PBE) results for a relaxed Zn3Cd crystal.

Values from the calculation:
Its total energy is -1.112 eV/atom.

Cell and atoms, written as CIF:
```
data_Zn3Cd
_chemical_formula_sum 'Zn3 Cd1'
_cell_length_a 2.8849
_cell_length_b 2.8849
_cell_length_c 8.2850
_cell_angle_alpha 90.00
_cell_angle_beta 90.00
_cell_angle_gamma 90.00
_space_group_name_H-M_alt 'P 4/m m m'
_space_group_IT_number 123
_space_group_name_Hall '-P 4 2'
loop_
_atom_site_label
_atom_site_fract_x
_atom_site_fract_y
_atom_site_fract_z
_atom_site_occupancy
Zn1 0.0000 0.0000 0.0000 1
Zn2 0.5000 0.5000 0.2228 1
Cd1 0.0000 0.0000 0.5000 1
```

| no. | energy relative to the elements (eV/atom) |
| --- | --- |
| 1 | 0.321 |
| 2 | 0.086 |
| 3 | 0.061 |
| 4 | 0.171 |
| 5 | 0.046 |
| 6 | 0.064 |
| 7 | 0.092 |
| 8 | 0.073 |